Ba2CaSiRu | Alexandria via LeMat-Bulk | PBEsol | relaxed; D(E_F) = 6.23 states/eV/cell; uncorrected formation energy = 0.380 eV/atom; magnetization = 0.57 Bohr magnetons per cell; theoretical density = 4511 kg/m³
1.0
5.376 0.000 0.000
0.000 5.514 0.000
0.000 0.000 5.514
Ba Si Ru Ca
2 1 1 1
direct
0.000 0.000 0.500
0.000 0.500 0.000
0.500 0.500 0.500
0.000 0.000 0.000
0.500 0.000 0.000